[1]
# Er3TmPb3 (PBE-GGA, relaxed)
data_Er3TmPb3
_symmetry_space_group_name_H-M 'P 21 3'
_symmetry_Int_Tables_number 198
_symmetry_space_group_name_Hall 'P 2ac 2ab 3'
_cell_length_a 9.314
_cell_length_b 9.314
_cell_length_c 9.314
_cell_angle_alpha 90.00
_cell_angle_beta 90.00
_cell_angle_gamma 90.00
loop_
_atom_site_label
_atom_site_type_symbol
_atom_site_fract_x
_atom_site_fract_y
_atom_site_fract_z
Er1 Er 0.070 0.430 0.570
Er2 Er 0.179 0.179 0.179
Er3 Er 0.179 0.821 0.321
Tm1 Tm 0.072 0.572 0.928
Pb1 Pb 0.000 0.251 0.875
# Magnetic moment in Bohr magnetons per cell: 0.0
# Uncorrected energy in eV/atom: -4.683

***

[2]
# ErTm8Pb6 (PBE-GGA, relaxed)
data_ErTm8Pb6
_symmetry_space_group_name_H-M 'R -3'
_symmetry_Int_Tables_number 148
_symmetry_space_group_name_Hall '-R 3'
_cell_length_a 9.0124
_cell_length_b 9.0124
_cell_length_c 19.6393
_cell_angle_alpha 90.00
_cell_angle_beta 90.00
_cell_angle_gamma 120.00
loop_
_atom_site_label
_atom_site_type_symbol
_atom_site_fract_x
_atom_site_fract_y
_atom_site_fract_z
Er1 Er 0.0000 0.0000 0.0000
Tm1 Tm 0.0000 0.0000 0.3333
Tm2 Tm 0.0000 0.3330 0.1054
Pb1 Pb 0.9999 0.3339 0.9312
# Magnetic moment in Bohr magnetons per cell: 0.0
# Uncorrected energy in eV/atom: -4.461